Te2Pd3: relaxed, GGA-PBE.

Calculated values
Spin magnetization (Bohr magnetons per cell): 0.00
E (eV/cell): -46.3

Unit cell a=6.831 b=6.831 c=6.637 alpha=59.03 beta=59.03 gamma=60.00
Sites, in units of the cell vectors:
Te  0.886  0.886  0.341
Te  0.386  0.386  0.841
Te  0.114  0.114  0.659
Te  0.614  0.614  0.159
Pd  0.990  0.750  0.750
Pd  0.750  0.510  0.750
Pd  0.510  0.990  0.750
Pd  0.250  0.490  0.250
Pd  0.490  0.010  0.250
Pd  0.010  0.250  0.250